Entry P
Below is a geometry-optimized AcPaP2 structure, with properties calculated at the PBE level. Values from VASP.

```
&SYSTEM
  ibrav = 0, nat = 4, ntyp = 3
/
ATOMIC_SPECIES
Ac 227.00 Ac.upf
P 30.97 P.upf
Pa 231.04 Pa.upf
ATOMIC_POSITIONS angstrom
Ac 0.3900 -0.4126 5.9921
P -0.0586 -0.0856 2.8101
P 3.0637 -1.5715 5.1002
Pa 1.7549 -1.1757 9.8462
CELL_PARAMETERS angstrom
-0.9940 2.5582 3.0150
-2.6558 -1.1619 2.8670
4.2499 -2.1359 5.9702
```

Output
As for the space-group type: R3m, No. 160.



Entry Q
Below is a geometry-optimized AcPaP2 structure, with properties calculated at the PBE level. Values from VASP.

```
&SYSTEM
  ibrav = 0, nat = 4, ntyp = 3
/
ATOMIC_SPECIES
P 30.97 P.upf
Pa 231.04 Pa.upf
Ac 227.00 Ac.upf
ATOMIC_POSITIONS angstrom
P 6.2323 3.5982 5.4375
P 2.0774 1.1994 1.4865
Pa 0.0000 0.0000 0.0000
Ac 4.1549 2.3988 3.4620
CELL_PARAMETERS angstrom
4.1549 0.0000 0.0000
2.0774 3.5982 0.0000
2.0774 1.1994 6.9240
```

Output
As for the space-group type: R-3m, No. 166.



Which one sits at the top of the stability order? entry Q does.



Entry P
Below is a geometry-optimized AcPaP2 structure, with properties calculated at the PBE level. Values from VASP.

```
&SYSTEM
  ibrav = 0, nat = 4, ntyp = 3
/
ATOMIC_SPECIES
P 30.97 P.upf
Ac 227.00 Ac.upf
Pa 231.04 Pa.upf
ATOMIC_POSITIONS angstrom
P 2.5301 1.4607 1.0329
P 7.5902 4.3822 3.0987
Ac 5.0601 2.9215 2.0658
Pa 0.0000 0.0000 0.0000
CELL_PARAMETERS angstrom
5.0601 0.0000 0.0000
2.5301 4.3822 0.0000
2.5301 1.4607 4.1316
```

Output
As for the space-group type: Fm-3m, No. 225.



Entry Q
Below is a geometry-optimized AcPaP2 structure, with properties calculated at the PBE level. Values from VASP.

```
&SYSTEM
  ibrav = 0, nat = 8, ntyp = 3
/
ATOMIC_SPECIES
P 30.97 P.upf
Pa 231.04 Pa.upf
Ac 227.00 Ac.upf
ATOMIC_POSITIONS angstrom
P 7.0016 -5.0930 1.6772
P 0.3069 -2.7728 -0.4071
P 3.8899 -4.5224 -0.4895
P 10.5845 -6.8426 1.5948
Pa 0.0000 0.0000 0.0000
Pa 6.2792 -3.0662 -0.1444
Ac 2.5139 -2.9016 1.7805
Ac 8.3775 -6.7138 -0.5928
CELL_PARAMETERS angstrom
-0.2101 -0.6225 4.0815
-1.4567 -2.8605 -2.6049
12.5583 -6.1324 -0.2889
```

Output
As for the space-group type: P6_3/mmc, No. 194.



Entry R
Below is a geometry-optimized AcPaP2 structure, with properties calculated at the PBE level. Values from VASP.

```
&SYSTEM
  ibrav = 0, nat = 4, ntyp = 3
/
ATOMIC_SPECIES
P 30.97 P.upf
Ac 227.00 Ac.upf
Pa 231.04 Pa.upf
ATOMIC_POSITIONS angstrom
P 0.0000 0.0000 1.5764
P 0.0000 0.0000 5.6136
Ac 1.7734 1.7734 3.5950
Pa 1.7734 1.7734 0.0000
CELL_PARAMETERS angstrom
3.5468 0.0000 0.0000
0.0000 3.5468 0.0000
0.0000 0.0000 7.1900
```

Output
As for the space-group type: P4/mmm, No. 123.



Which one sits at the top of the stability order? entry Q does.



Entry P
Below is a geometry-optimized Ac4PPb2 structure, with properties calculated at the PBE level. Values from VASP.

```
&SYSTEM
  ibrav = 0, nat = 7, ntyp = 3
/
ATOMIC_SPECIES
Pb 207.20 Pb.upf
Ac 227.00 Ac.upf
P 30.97 P.upf
ATOMIC_POSITIONS angstrom
Pb 3.2665 -3.2062 0.9007
Pb 5.0014 1.4546 3.8324
Ac -0.3226 -2.4858 1.3645
Ac 2.3672 0.6885 1.8139
Ac 1.7801 -1.2465 -1.8500
Ac 5.9007 -2.4400 2.9191
P 0.0000 0.0000 0.0000
CELL_PARAMETERS angstrom
-0.6452 -4.9715 2.7290
3.5602 -2.4930 -3.7000
5.3529 5.7130 5.7040
```

Output
As for the space-group type: I4/mmm, No. 139.



Entry Q
Below is a geometry-optimized Ac4PPb2 structure, with properties calculated at the PBE level. Values from VASP.

```
&SYSTEM
  ibrav = 0, nat = 7, ntyp = 3
/
ATOMIC_SPECIES
Ac 227.00 Ac.upf
Pb 207.20 Pb.upf
P 30.97 P.upf
ATOMIC_POSITIONS angstrom
Ac -0.0611 2.6262 1.6293
Ac 5.2334 8.7284 6.6094
Ac 0.8474 8.0572 5.3803
Ac 4.3249 3.2973 2.8584
Pb 3.6963 5.9327 5.2591
Pb 1.4760 5.4218 2.9796
P 0.0000 0.0000 0.0000
CELL_PARAMETERS angstrom
-0.5963 4.8057 -0.4963
-1.5401 2.9018 6.0751
7.3087 3.6470 2.6599
```

Output
As for the space-group type: C2/m, No. 12.



Which one sits at the top of the stability order? entry Q does.



Entry P
Below is a geometry-optimized Ac3PPb structure, with properties calculated at the PBE level. Values from VASP.

```
&SYSTEM
  ibrav = 0, nat = 20, ntyp = 3
/
ATOMIC_SPECIES
Pb 207.20 Pb.upf
P 30.97 P.upf
Ac 227.00 Ac.upf
ATOMIC_POSITIONS angstrom
Pb 1.1571 5.6942 5.2598
Pb 3.4712 3.7600 11.3605
Pb 1.1571 0.9671 3.0504
Pb 3.4712 8.4872 13.5700
P 3.4712 1.6929 7.4239
P 1.1571 3.0342 15.7341
P 1.1571 7.7613 9.1965
P 3.4712 6.4200 0.8863
Ac 1.1571 4.5537 1.7573
Ac 1.1571 7.9466 16.2136
Ac 1.1571 3.2195 8.7170
Ac 3.4712 0.1734 10.0675
Ac 1.1571 6.4080 11.8089
Ac 3.4712 4.9005 14.8630
Ac 3.4712 7.7733 3.4987
Ac 3.4712 1.5076 0.4068
Ac 1.1571 9.2809 6.5529
Ac 3.4712 6.2348 7.9034
Ac 1.1571 1.6809 13.1217
Ac 3.4712 3.0462 4.8115
CELL_PARAMETERS angstrom
4.6282 0.0000 0.0000
0.0000 9.4542 0.0000
0.0000 0.0000 16.6204
```

Output
As for the space-group type: Pnma, No. 62.



Entry Q
Below is a geometry-optimized Ac3PPb structure, with properties calculated at the PBE level. Values from VASP.

```
&SYSTEM
  ibrav = 0, nat = 5, ntyp = 3
/
ATOMIC_SPECIES
Ac 227.00 Ac.upf
Pb 207.20 Pb.upf
P 30.97 P.upf
ATOMIC_POSITIONS angstrom
Ac 0.0000 0.0000 2.9125
Ac 2.9125 0.0000 0.0000
Ac 0.0000 2.9125 0.0000
Pb 2.9125 2.9125 2.9125
P 0.0000 0.0000 0.0000
CELL_PARAMETERS angstrom
5.8251 0.0000 0.0000
0.0000 5.8251 0.0000
0.0000 0.0000 5.8251
```

Output
As for the space-group type: Pm-3m, No. 221.



Which one sits at the top of the stability order? entry P does.



Entry P
Below is a geometry-optimized AcPPb2 structure, with properties calculated at the PBE level. Values from VASP.

```
&SYSTEM
  ibrav = 0, nat = 4, ntyp = 3
/
ATOMIC_SPECIES
Ac 227.00 Ac.upf
Pb 207.20 Pb.upf
P 30.97 P.upf
ATOMIC_POSITIONS angstrom
Ac 0.9864 -4.1495 -0.1036
Pb -0.1283 -1.3253 1.8462
Pb 2.1205 -0.7351 -0.3803
P -1.0057 -2.0890 -1.5695
CELL_PARAMETERS angstrom
-2.0115 -4.1780 -3.1391
4.2409 -1.4703 -0.7606
-0.2567 -2.6506 3.6924
```

Output
As for the space-group type: P4/mmm, No. 123.



Entry Q
Below is a geometry-optimized AcPPb2 structure, with properties calculated at the PBE level. Values from VASP.

```
&SYSTEM
  ibrav = 0, nat = 4, ntyp = 3
/
ATOMIC_SPECIES
Pb 207.20 Pb.upf
Ac 227.00 Ac.upf
P 30.97 P.upf
ATOMIC_POSITIONS angstrom
Pb 2.4258 4.3577 5.3090
Pb 1.2661 -0.7938 7.3904
Ac 0.0000 0.0000 0.0000
P 1.8459 1.7819 6.3497
CELL_PARAMETERS angstrom
-1.7794 -1.2115 3.2209
1.8546 -2.3296 2.4782
3.6166 7.1049 7.0002
```

Output
As for the space-group type: R-3m, No. 166.



Which one sits at the top of the stability order? entry P does.



Entry P
Below is a geometry-optimized AcPPd3 structure, with properties calculated at the PBE level. Values from VASP.

```
&SYSTEM
  ibrav = 0, nat = 5, ntyp = 3
/
ATOMIC_SPECIES
Pd 106.42 Pd.upf
Ac 227.00 Ac.upf
P 30.97 P.upf
ATOMIC_POSITIONS angstrom
Pd 0.9120 -3.7764 0.6365
Pd -0.4134 -3.4133 3.1036
Pd 0.2039 -6.0909 2.4599
Ac 3.4516 -5.3285 2.1733
P 0.8897 -6.1389 0.1479
CELL_PARAMETERS angstrom
0.5666 -0.8756 4.1557
-1.9879 -3.7601 -0.5187
3.9504 -4.6255 0.6955
```

Output
As for the space-group type: I4mm, No. 107.



Entry Q
Below is a geometry-optimized AcPPd3 structure, with properties calculated at the PBE level. Values from VASP.

```
&SYSTEM
  ibrav = 0, nat = 5, ntyp = 3
/
ATOMIC_SPECIES
Pd 106.42 Pd.upf
Ac 227.00 Ac.upf
P 30.97 P.upf
ATOMIC_POSITIONS angstrom
Pd 0.0000 0.0000 2.3516
Pd 0.0000 2.3516 0.0000
Pd 2.3516 0.0000 0.0000
Ac 2.3516 2.3516 2.3516
P 0.0000 0.0000 0.0000
CELL_PARAMETERS angstrom
4.7033 0.0000 0.0000
0.0000 4.7033 0.0000
0.0000 0.0000 4.7033
```

Output
As for the space-group type: Pm-3m, No. 221.



Entry R
Below is a geometry-optimized AcPPd3 structure, with properties calculated at the PBE level. Values from VASP.

```
&SYSTEM
  ibrav = 0, nat = 10, ntyp = 3
/
ATOMIC_SPECIES
Pd 106.42 Pd.upf
P 30.97 P.upf
Ac 227.00 Ac.upf
ATOMIC_POSITIONS angstrom
Pd -1.2910 -3.9439 3.6859
Pd 0.0000 0.0000 0.0000
Pd -2.2059 0.8499 1.0421
Pd -0.3098 -1.5884 3.8419
Pd -4.1044 -5.7495 5.6077
Pd -3.1232 -3.3941 5.7637
P -1.9659 -2.5286 7.5075
P -2.4483 -4.8094 1.9420
Ac -0.8041 -5.7770 6.2114
Ac -3.6100 -1.5609 3.2381
CELL_PARAMETERS angstrom
-4.4117 1.6997 2.0842
-2.0160 -4.8396 -0.3205
2.0136 -4.1981 7.6859
```

Output
As for the space-group type: Cmcm, No. 63.



Which one sits at the top of the stability order? entry P does.